Nd4BiPbC: relaxed, GGA-PBE.

Results
**DOS(E_F)**: 7.7 states/eV per cell
**ΔH_f (0 K)**: -3.64 eV/f.u.
**Final energy**: -0.4150 Ry per atom
**Magnetization**: 0.000 μB per atom

abc: 9.0296 9.0296 7.1454
angles: 90.00 90.00 133.39
Closest atoms and distances in Å follow each position.
Fractional coordinates of all 14 atoms:
Nd: 0.0000 0.5000 0.0000  2 C 2.53
Nd: 0.0000 0.5000 0.5000  2 C 2.53
Nd: 0.0915 0.9085 0.7500  1 C 2.63
Nd: 0.4065 0.5935 0.7500  1 C 2.60
Nd: 0.5000 0.0000 0.0000  2 C 2.53
Nd: 0.5000 0.0000 0.5000  2 C 2.53
Nd: 0.5935 0.4065 0.2500  1 C 2.60
Nd: 0.9085 0.0915 0.2500  1 C 2.63
Bi: 0.3923 0.6077 0.2500  9 Nd 3.34-3.58
Bi: 0.6077 0.3923 0.7500  9 Nd 3.34-3.58
Pb: 0.1084 0.8916 0.2500  9 Nd 3.32-3.58
Pb: 0.8916 0.1084 0.7500  9 Nd 3.32-3.58
C: 0.2498 0.7502 0.7500  6 Nd 2.53-2.63
C: 0.7502 0.2498 0.2500  6 Nd 2.53-2.63

=====

PmNd2BiC: relaxed, GGA-PBE.

Results
**DOS(E_F)**: 3.1 states/eV per cell
**ΔH_f (0 K)**: -2.26 eV/f.u.
**Final energy**: -0.4359 Ry per atom
**Magnetization**: 0.000 μB per atom

abc: 5.1295 5.1295 5.0800
angles: 90.00 90.00 90.00
Closest atoms and distances in Å follow each position.
Fractional coordinates of all 5 atoms:
Pm: 0.0000 0.0000 0.0000  2 C 2.54
Nd: 0.0000 0.5000 0.5000  2 C 2.56
Nd: 0.5000 0.0000 0.5000  2 C 2.56
Bi: 0.5000 0.5000 0.0000  8 Nd 3.61, 4 Pm 3.63
C: 0.0000 0.0000 0.5000  2 Pm 2.54, 4 Nd 2.56